(w)
# Hf2P2Au, relaxed, DFT PBE
# * crystal system: tetragonal
data_Hf2P2Au
_cell_length_a 7.1815
_cell_length_b 7.1815
_cell_length_c 3.3553
_cell_angle_alpha 90.00
_cell_angle_beta 90.00
_cell_angle_gamma 90.00
_space_group_name_H-M_alt 'P 4/m b m'
_space_group_IT_number 127
_space_group_name_Hall '-P 4 2ab'
loop_
_atom_site_label
_atom_site_type_symbol
_atom_site_fract_x
_atom_site_fract_y
_atom_site_fract_z
Hf1 Hf 0.1515 0.3485 0.0000
P1 P 0.1443 0.6443 0.5000
Au1 Au 0.0000 0.0000 0.5000

=====

(x)
# Hf2P2Au, relaxed, DFT PBE
# * crystal system: tetragonal
data_Hf2P2Au
_cell_length_a 3.4702
_cell_length_b 3.4702
_cell_length_c 14.7370
_cell_angle_alpha 90.00
_cell_angle_beta 90.00
_cell_angle_gamma 90.00
_space_group_name_H-M_alt 'I 4/m m m'
_space_group_IT_number 139
_space_group_name_Hall '-I 4 2'
loop_
_atom_site_label
_atom_site_type_symbol
_atom_site_fract_x
_atom_site_fract_y
_atom_site_fract_z
Hf1 Hf 0.0000 0.0000 0.1140
P1 P 0.0000 0.5000 0.2500
Au1 Au 0.0000 0.0000 0.5000

=====

(y)
# Hf2P2Au, relaxed, DFT PBE
# * crystal system: tetragonal
data_Hf2P2Au
_cell_length_a 7.3479
_cell_length_b 7.3479
_cell_length_c 3.3967
_cell_angle_alpha 90.00
_cell_angle_beta 90.00
_cell_angle_gamma 90.00
_space_group_name_H-M_alt 'P 4/m b m'
_space_group_IT_number 127
_space_group_name_Hall '-P 4 2ab'
loop_
_atom_site_label
_atom_site_type_symbol
_atom_site_fract_x
_atom_site_fract_y
_atom_site_fract_z
Hf1 Hf 0.1490 0.3510 0.0000
P1 P 0.1441 0.6441 0.5000
Au1 Au 0.0000 0.0000 0.0000

=====

Stability order, top to bottom: (w), (y), (x)

=====

(w)
# HfPa2Au, relaxed, DFT PBE
# * crystal system: tetragonal
data_HfPa2Au
_cell_length_a 4.2049
_cell_length_b 4.2049
_cell_length_c 5.0529
_cell_angle_alpha 90.00
_cell_angle_beta 90.00
_cell_angle_gamma 90.00
_space_group_name_H-M_alt 'P 4/m m m'
_space_group_IT_number 123
_space_group_name_Hall '-P 4 2'
loop_
_atom_site_label
_atom_site_type_symbol
_atom_site_fract_x
_atom_site_fract_y
_atom_site_fract_z
Hf1 Hf 0.0000 0.0000 0.0000
Pa1 Pa 0.0000 0.5000 0.5000
Au1 Au 0.5000 0.5000 0.0000

=====

(x)
# HfPa2Au, relaxed, DFT PBE
# * crystal system: tetragonal
data_HfPa2Au
_cell_length_a 3.1468
_cell_length_b 3.1468
_cell_length_c 9.2106
_cell_angle_alpha 90.00
_cell_angle_beta 90.00
_cell_angle_gamma 90.00
_space_group_name_H-M_alt 'P 4 m m'
_space_group_IT_number 99
_space_group_name_Hall 'P 4 -2'
loop_
_atom_site_label
_atom_site_type_symbol
_atom_site_fract_x
_atom_site_fract_y
_atom_site_fract_z
Hf1 Hf 0.0000 0.0000 0.0000
Pa1 Pa 0.0000 0.0000 0.4640
Pa2 Pa 0.5000 0.5000 0.7415
Au1 Au 0.5000 0.5000 0.2071

=====

Stability order, top to bottom: (x), (w)

=====

(w)
# HfPa2Au, relaxed, DFT PBE
# * crystal system: trigonal
data_HfPa2Au
_cell_length_a 3.0886
_cell_length_b 3.0886
_cell_length_c 34.4743
_cell_angle_alpha 90.00
_cell_angle_beta 90.00
_cell_angle_gamma 120.00
_space_group_name_H-M_alt 'R -3 m'
_space_group_IT_number 166
_space_group_name_Hall '-R 3 2"'
loop_
_atom_site_label
_atom_site_type_symbol
_atom_site_fract_x
_atom_site_fract_y
_atom_site_fract_z
Hf1 Hf 0.0000 0.0000 0.0000
Pa1 Pa 0.0000 0.0000 0.4125
Au1 Au 0.0000 0.0000 0.5000

=====

(x)
# HfPa2Au, relaxed, DFT PBE
# * crystal system: tetragonal
data_HfPa2Au
_cell_length_a 3.8699
_cell_length_b 3.8699
_cell_length_c 6.4177
_cell_angle_alpha 90.00
_cell_angle_beta 90.00
_cell_angle_gamma 90.00
_space_group_name_H-M_alt 'P 4/m m m'
_space_group_IT_number 123
_space_group_name_Hall '-P 4 2'
loop_
_atom_site_label
_atom_site_type_symbol
_atom_site_fract_x
_atom_site_fract_y
_atom_site_fract_z
Hf1 Hf 0.0000 0.0000 0.0000
Pa1 Pa 0.5000 0.5000 0.2741
Au1 Au 0.0000 0.0000 0.5000

=====

Stability order, top to bottom: (x), (w)

=====

(w)
# Hf2Pb2Au, relaxed, DFT PBE
# * crystal system: tetragonal
data_Hf2Pb2Au
_cell_length_a 7.3288
_cell_length_b 7.3288
_cell_length_c 4.5201
_cell_angle_alpha 90.00
_cell_angle_beta 90.00
_cell_angle_gamma 90.00
_space_group_name_H-M_alt 'P 4/m b m'
_space_group_IT_number 127
_space_group_name_Hall '-P 4 2ab'
loop_
_atom_site_label
_atom_site_type_symbol
_atom_site_fract_x
_atom_site_fract_y
_atom_site_fract_z
Hf1 Hf 0.1466 0.3534 0.0000
Pb1 Pb 0.1639 0.6639 0.5000
Au1 Au 0.0000 0.0000 0.0000

=====

(x)
# Hf2Pb2Au, relaxed, DFT PBE
# * crystal system: tetragonal
data_Hf2Pb2Au
_cell_length_a 7.5291
_cell_length_b 7.5291
_cell_length_c 4.1551
_cell_angle_alpha 90.00
_cell_angle_beta 90.00
_cell_angle_gamma 90.00
_space_group_name_H-M_alt 'P 4/m b m'
_space_group_IT_number 127
_space_group_name_Hall '-P 4 2ab'
loop_
_atom_site_label
_atom_site_type_symbol
_atom_site_fract_x
_atom_site_fract_y
_atom_site_fract_z
Hf1 Hf 0.1526 0.3474 0.0000
Pb1 Pb 0.1493 0.6493 0.5000
Au1 Au 0.0000 0.0000 0.5000

=====

Stability order, top to bottom: (w), (x)

=====

(w)
# HfPb3Au, relaxed, DFT PBE
# * crystal system: cubic
data_HfPb3Au
_cell_length_a 5.6292
_cell_length_b 5.6292
_cell_length_c 5.6292
_cell_angle_alpha 90.00
_cell_angle_beta 90.00
_cell_angle_gamma 90.00
_space_group_name_H-M_alt 'P m -3 m'
_space_group_IT_number 221
_space_group_name_Hall '-P 4 2 3'
loop_
_atom_site_label
_atom_site_type_symbol
_atom_site_fract_x
_atom_site_fract_y
_atom_site_fract_z
Hf1 Hf 0.0000 0.0000 0.0000
Pb1 Pb 0.0000 0.0000 0.5000
Au1 Au 0.5000 0.5000 0.5000

=====

(x)
# HfPb3Au, relaxed, DFT PBE
# * crystal system: cubic
data_HfPb3Au
_cell_length_a 5.4622
_cell_length_b 5.4622
_cell_length_c 5.4622
_cell_angle_alpha 90.00
_cell_angle_beta 90.00
_cell_angle_gamma 90.00
_space_group_name_H-M_alt 'P m -3 m'
_space_group_IT_number 221
_space_group_name_Hall '-P 4 2 3'
loop_
_atom_site_label
_atom_site_type_symbol
_atom_site_fract_x
_atom_site_fract_y
_atom_site_fract_z
Hf1 Hf 0.0000 0.0000 0.0000
Pb1 Pb 0.0000 0.5000 0.5000
Au1 Au 0.5000 0.5000 0.5000

=====

Stability order, top to bottom: (w), (x)

=====

(w)
# Hf3PbAu, relaxed, DFT PBE
# * crystal system: cubic
data_Hf3PbAu
_cell_length_a 5.2633
_cell_length_b 5.2633
_cell_length_c 5.2633
_cell_angle_alpha 90.00
_cell_angle_beta 90.00
_cell_angle_gamma 90.00
_space_group_name_H-M_alt 'P m -3 m'
_space_group_IT_number 221
_space_group_name_Hall '-P 4 2 3'
loop_
_atom_site_label
_atom_site_type_symbol
_atom_site_fract_x
_atom_site_fract_y
_atom_site_fract_z
Hf1 Hf 0.0000 0.0000 0.5000
Pb1 Pb 0.0000 0.0000 0.0000
Au1 Au 0.5000 0.5000 0.5000

=====

(x)
# Hf3PbAu, relaxed, DFT PBE
# * crystal system: cubic
data_Hf3PbAu
_cell_length_a 5.1407
_cell_length_b 5.1407
_cell_length_c 5.1407
_cell_angle_alpha 90.00
_cell_angle_beta 90.00
_cell_angle_gamma 90.00
_space_group_name_H-M_alt 'P m -3 m'
_space_group_IT_number 221
_space_group_name_Hall '-P 4 2 3'
loop_
_atom_site_label
_atom_site_type_symbol
_atom_site_fract_x
_atom_site_fract_y
_atom_site_fract_z
Hf1 Hf 0.0000 0.0000 0.5000
Pb1 Pb 0.5000 0.5000 0.5000
Au1 Au 0.0000 0.0000 0.0000

=====

Stability order, top to bottom: (x), (w)

=====

(w)
# HfPd7Au4, relaxed, DFT PBE
# * crystal system: triclinic
data_HfPd7Au4
_cell_length_a 4.9225
_cell_length_b 5.7474
_cell_length_c 7.5890
_cell_angle_alpha 101.92
_cell_angle_beta 108.74
_cell_angle_gamma 90.46
_space_group_name_H-M_alt 'P -1'
_space_group_IT_number 2
_space_group_name_Hall '-P 1'
loop_
_atom_site_label
_atom_site_type_symbol
_atom_site_fract_x
_atom_site_fract_y
_atom_site_fract_z
Hf1 Hf 0.0000 0.0000 0.0000
Pd1 Pd 0.0000 0.5000 0.0000
Pd2 Pd 0.0028 0.6763 0.6771
Pd3 Pd 0.4929 0.0787 0.3259
Pd4 Pd 0.4971 0.2483 0.0007
Au1 Au 0.0013 0.1707 0.6666
Au2 Au 0.4996 0.4211 0.6677

=====

(x)
# HfPd7Au4, relaxed, DFT PBE
# * crystal system: monoclinic
data_HfPd7Au4
_cell_length_a 10.4631
_cell_length_b 4.9081
_cell_length_c 9.6470
_cell_angle_alpha 90.00
_cell_angle_beta 118.53
_cell_angle_gamma 90.00
_space_group_name_H-M_alt 'C 1 2/m 1'
_space_group_IT_number 12
_space_group_name_Hall '-C 2y'
loop_
_atom_site_label
_atom_site_type_symbol
_atom_site_fract_x
_atom_site_fract_y
_atom_site_fract_z
Hf1 Hf 0.0000 0.0000 0.0000
Pd1 Pd 0.0000 0.5000 0.0000
Pd2 Pd 0.0621 0.0000 0.3337
Pd3 Pd 0.1440 0.5000 0.5321
Pd4 Pd 0.2041 0.0000 0.9296
Au1 Au 0.0793 0.5000 0.7694
Au2 Au 0.2436 0.5000 0.3194

=====

Stability order, top to bottom: (w), (x)

=====

(w)
# HfPd5Au, relaxed, DFT PBE
# * crystal system: tetragonal
data_HfPd5Au
_cell_length_a 3.9519
_cell_length_b 3.9519
_cell_length_c 7.8391
_cell_angle_alpha 90.00
_cell_angle_beta 90.00
_cell_angle_gamma 90.00
_space_group_name_H-M_alt 'P 4/m m m'
_space_group_IT_number 123
_space_group_name_Hall '-P 4 2'
loop_
_atom_site_label
_atom_site_type_symbol
_atom_site_fract_x
_atom_site_fract_y
_atom_site_fract_z
Hf1 Hf 0.0000 0.0000 0.0000
Pd1 Pd 0.0000 0.0000 0.5000
Pd2 Pd 0.0000 0.5000 0.2328
Au1 Au 0.5000 0.5000 0.5000

=====

(x)
# HfPd5Au, relaxed, DFT PBE
# * crystal system: monoclinic
data_HfPd5Au
_cell_length_a 9.3128
_cell_length_b 5.2054
_cell_length_c 10.0243
_cell_angle_alpha 90.00
_cell_angle_beta 96.11
_cell_angle_gamma 90.00
_space_group_name_H-M_alt 'C 1 2/c 1'
_space_group_IT_number 15
_space_group_name_Hall '-C 2yc'
loop_
_atom_site_label
_atom_site_type_symbol
_atom_site_fract_x
_atom_site_fract_y
_atom_site_fract_z
Hf1 Hf 0.0000 0.2042 0.2500
Pd1 Pd 0.0000 0.2839 0.7500
Pd2 Pd 0.1465 0.0249 0.5487
Pd3 Pd 0.2387 0.4543 0.1856
Au1 Au 0.0000 0.5000 0.0000

=====

Stability order, top to bottom: (w), (x)

=====

(w)
# HfPd2Au, relaxed, DFT PBE
# * crystal system: cubic
data_HfPd2Au
_cell_length_a 6.5017
_cell_length_b 6.5017
_cell_length_c 6.5017
_cell_angle_alpha 90.00
_cell_angle_beta 90.00
_cell_angle_gamma 90.00
_space_group_name_H-M_alt 'F m -3 m'
_space_group_IT_number 225
_space_group_name_Hall '-F 4 2 3'
loop_
_atom_site_label
_atom_site_type_symbol
_atom_site_fract_x
_atom_site_fract_y
_atom_site_fract_z
Hf1 Hf 0.0000 0.0000 0.0000
Pd1 Pd 0.2500 0.2500 0.2500
Au1 Au 0.0000 0.0000 0.5000

=====

(x)
# HfPd2Au, relaxed, DFT PBE
# * crystal system: tetragonal
data_HfPd2Au
_cell_length_a 7.2978
_cell_length_b 7.2978
_cell_length_c 5.6515
_cell_angle_alpha 90.00
_cell_angle_beta 90.00
_cell_angle_gamma 90.00
_space_group_name_H-M_alt 'I -4 2 d'
_space_group_IT_number 122
_space_group_name_Hall 'I -4 2bw'
loop_
_atom_site_label
_atom_site_type_symbol
_atom_site_fract_x
_atom_site_fract_y
_atom_site_fract_z
Hf1 Hf 0.0000 0.0000 0.0000
Pd1 Pd 0.2365 0.7500 0.1250
Au1 Au 0.0000 0.0000 0.5000

=====

Stability order, top to bottom: (w), (x)

=====

(w)
# HfPd2Au, relaxed, DFT PBE
# * crystal system: tetragonal
data_HfPd2Au
_cell_length_a 3.4692
_cell_length_b 3.4692
_cell_length_c 5.7595
_cell_angle_alpha 90.00
_cell_angle_beta 90.00
_cell_angle_gamma 90.00
_space_group_name_H-M_alt 'P 4/m m m'
_space_group_IT_number 123
_space_group_name_Hall '-P 4 2'
loop_
_atom_site_label
_atom_site_type_symbol
_atom_site_fract_x
_atom_site_fract_y
_atom_site_fract_z
Hf1 Hf 0.0000 0.0000 0.0000
Pd1 Pd 0.5000 0.5000 0.2447
Au1 Au 0.0000 0.0000 0.5000

=====

(x)
# HfPd2Au, relaxed, DFT PBE
# * crystal system: orthorhombic
data_HfPd2Au
_cell_length_a 4.7904
_cell_length_b 10.3130
_cell_length_c 5.7888
_cell_angle_alpha 90.00
_cell_angle_beta 90.00
_cell_angle_gamma 90.00
_space_group_name_H-M_alt 'C m c m'
_space_group_IT_number 63
_space_group_name_Hall '-C 2c 2'
loop_
_atom_site_label
_atom_site_type_symbol
_atom_site_fract_x
_atom_site_fract_y
_atom_site_fract_z
Hf1 Hf 0.0000 0.1410 0.2500
Pd1 Pd 0.0000 0.3692 0.5012
Au1 Au 0.0000 0.1324 0.7500

=====

(y)
# HfPd2Au, relaxed, DFT PBE
# * crystal system: tetragonal
data_HfPd2Au
_cell_length_a 4.0912
_cell_length_b 4.0912
_cell_length_c 4.0705
_cell_angle_alpha 90.00
_cell_angle_beta 90.00
_cell_angle_gamma 90.00
_space_group_name_H-M_alt 'P 4/m m m'
_space_group_IT_number 123
_space_group_name_Hall '-P 4 2'
loop_
_atom_site_label
_atom_site_type_symbol
_atom_site_fract_x
_atom_site_fract_y
_atom_site_fract_z
Hf1 Hf 0.0000 0.0000 0.0000
Pd1 Pd 0.0000 0.5000 0.5000
Au1 Au 0.5000 0.5000 0.0000

=====

Stability order, top to bottom: (w), (y), (x)

=====

(w)
# HfPd3Au3, relaxed, DFT PBE
# * crystal system: trigonal
data_HfPd3Au3
_cell_length_a 7.4994
_cell_length_b 7.4994
_cell_length_c 15.7436
_cell_angle_alpha 90.00
_cell_angle_beta 90.00
_cell_angle_gamma 120.00
_space_group_name_H-M_alt 'R -3'
_space_group_IT_number 148
_space_group_name_Hall '-R 3'
loop_
_atom_site_label
_atom_site_type_symbol
_atom_site_fract_x
_atom_site_fract_y
_atom_site_fract_z
Hf1 Hf 0.0000 0.0000 0.1209
Pd1 Pd 0.0549 0.2556 0.7511
Au1 Au 0.0388 0.2396 0.5787

=====

(x)
# HfPd3Au3, relaxed, DFT PBE
# * crystal system: hexagonal
data_HfPd3Au3
_cell_length_a 7.6018
_cell_length_b 7.6018
_cell_length_c 4.7794
_cell_angle_alpha 90.00
_cell_angle_beta 90.00
_cell_angle_gamma 120.00
_space_group_name_H-M_alt 'P 63/m'
_space_group_IT_number 176
_space_group_name_Hall '-P 6c'
loop_
_atom_site_label
_atom_site_type_symbol
_atom_site_fract_x
_atom_site_fract_y
_atom_site_fract_z
Hf1 Hf 0.3333 0.6667 0.2500
Pd1 Pd 0.0548 0.2459 0.2500
Au1 Au 0.0959 0.4681 0.7500

=====

Stability order, top to bottom: (x), (w)